# Mg6Si7Ni16

Mg6Si7Ni16 at its PBEsol-relaxed geometry (SCAN, Alexandria).

POSCAR file:
```
Mg6Si7Ni16
1.0
0.0000 5.5857 5.5857
5.5857 0.0000 5.5857
5.5857 5.5857 0.0000
Mg Si Ni
6 7 16
Cartesian
5.5857 5.5857 2.2798
5.5857 2.2798 5.5857
8.8916 5.5857 5.5857
2.2798 5.5857 5.5857
5.5857 8.8916 5.5857
5.5857 5.5857 8.8916
2.7928 2.7928 0.0000
2.7928 0.0000 2.7928
5.5857 2.7928 2.7928
0.0000 2.7928 2.7928
2.7928 5.5857 2.7928
2.7928 2.7928 5.5857
5.5857 5.5857 5.5857
6.9034 4.2680 4.2680
1.8825 1.8825 1.8825
3.7032 3.7032 1.8825
3.7032 1.8825 3.7032
4.2680 4.2680 4.2680
6.9034 6.9034 4.2680
6.9034 4.2680 6.9034
1.8825 3.7032 3.7032
9.2889 7.4682 7.4682
4.2680 6.9034 4.2680
4.2680 4.2680 6.9034
6.9034 6.9034 6.9034
7.4682 9.2889 7.4682
7.4682 7.4682 9.2889
9.2889 9.2889 9.2889
4.2680 6.9034 6.9034
```

Properties
For the theoretical density, the calculation gives 6.11 g/cm3. Its space-group type is Fm-3m. The value obtained for the uncorrected formation energy is -0.571 eV/atom. As for the density of states at the Fermi level: 16.61 states/eV/cell.

=====

# EuYO2

EuYO2 at its PBEsol-relaxed geometry (SCAN, Alexandria).

POSCAR file:
```
EuYO2
1.0
3.4197 0.0000 0.0000
-1.7098 2.9615 0.0000
0.0000 0.0000 17.0143
Eu Y O
3 3 6
Cartesian
0.0000 0.0000 0.0000
0.0000 1.9744 11.3429
1.7098 0.9872 5.6714
0.0000 0.0000 8.5072
0.0000 1.9744 2.8357
1.7098 0.9872 14.1786
0.0000 0.0000 4.0901
0.0000 0.0000 12.9242
0.0000 1.9744 7.2528
0.0000 1.9744 15.4330
1.7098 0.9872 1.5814
1.7098 0.9872 9.7615
```

Properties
For the theoretical density, the calculation gives 7.89 g/cm3. Its space-group type is R-3m. The value obtained for the uncorrected formation energy is -3.120 eV/atom. As for the density of states at the Fermi level: 3.76 states/eV/cell.